# 1
Density functional theory data (PBE) for an optimized crystal structure of K2AlZn.

Output
The density of states at the Fermi level comes out at 1.67 states/eV/f.u. The total energy is -1.654 eV/atom. Its size of the total moment is 0.00 μB/f.u. The calculation puts the distance to the lowest polymorph of the same formula at 0.0336 eV/atom. The value obtained for the energy of formation is 0.15 eV per atom.

Structure (CIF):
```
data_K2AlZn
_cell_length_a 5.699
_cell_length_b 4.616
_cell_length_c 6.532
_cell_angle_alpha 90.00
_cell_angle_beta 115.82
_cell_angle_gamma 90.00
_space_group_name_H-M_alt 'P 1 m 1'
_space_group_IT_number 6
loop_
_space_group_symop_operation_xyz
'x,y,z'
'x,-y,z'
loop_
_atom_site_label
_atom_site_type_symbol
_atom_site_fract_x
_atom_site_fract_y
_atom_site_fract_z
K1 K 0.000 0.000 0.000
K2 K 0.302 0.500 0.603
Al1 Al 0.614 0.500 0.228
Zn1 Zn 0.688 0.000 0.379
```


# 2
Density functional theory data (PBE) for an optimized crystal structure of K2AlZn.

Output
The density of states at the Fermi level comes out at 2.22 states/eV/f.u. The total energy is -1.372 eV/atom. Its size of the total moment is 0.00 μB/f.u. The calculation puts the distance to the lowest polymorph of the same formula at 0.3163 eV/atom. The value obtained for the energy of formation is 0.43 eV per atom.

Structure (CIF):
```
data_K2AlZn
_cell_length_a 10.454
_cell_length_b 3.094
_cell_length_c 8.802
_cell_angle_alpha 90.00
_cell_angle_beta 93.16
_cell_angle_gamma 90.00
_space_group_name_H-M_alt 'C 1 2/m 1'
_space_group_IT_number 12
loop_
_space_group_symop_operation_xyz
'x,y,z'
'-x,-y,-z'
'-x,y,-z'
'x,-y,z'
'x+1/2,y+1/2,z'
'-x+1/2,-y+1/2,-z'
'-x+1/2,y+1/2,-z'
'x+1/2,-y+1/2,z'
loop_
_atom_site_label
_atom_site_type_symbol
_atom_site_fract_x
_atom_site_fract_y
_atom_site_fract_z
K1 K 0.249 0.000 0.252
Al1 Al 0.000 0.000 0.500
Zn1 Zn 0.000 0.500 0.000
```